Mn8O17: optimized geometry, GGA+U.

## Properties
Energy   -6.916 eV per atom
Density of states at the Fermi level   2.2 states/eV/f.u.
SG   No. 2

Structure (POSCAR):
```
Mn8O17
1.0
5.8651 0.0000 0.0000
1.4657 7.0168 0.0000
1.4666 0.0148 7.0362
Mn O
8 17
Direct
0.0755 0.0153 0.1820
0.1670 0.3174 0.5144
0.3332 0.6824 0.4850
0.4244 0.9840 0.8179
0.5756 0.0160 0.1821
0.6668 0.3176 0.5150
0.8330 0.6826 0.4856
0.9245 0.9847 0.8180
0.0216 0.7925 0.6225
0.1467 0.5492 0.3612
0.1674 0.1224 0.7083
0.1715 0.8604 0.9521
0.3279 0.1394 0.0478
0.3327 0.8776 0.2915
0.3519 0.4510 0.6385
0.4790 0.2058 0.3793
0.5000 0.5000 0.0000
0.5210 0.7942 0.6207
0.6481 0.5490 0.3615
0.6673 0.1224 0.7085
0.6721 0.8606 0.9522
0.8285 0.1396 0.0479
0.8326 0.8776 0.2917
0.8533 0.4508 0.6388
0.9784 0.2075 0.3775
```